Entry 1:
A geometry-optimized SmTmSc2As4 structure, computed with PBE.

Cell: 6.9370 4.0197 6.9550 Å, 90.00 109.54 90.00°
Last column: nearest neighbours and their distance in Å.
Space group P2/m (No. 10)
Unique sites:
Sm1 0.0000 0.0000 0.0000 x1  6 As 2.92
Tm1 0.0000 0.5000 0.5000 x1  6 As 2.88
Sc1 0.5000 0.0000 0.5000 x1  6 As 2.76
Sc2 0.5000 0.5000 0.0000 x1  6 As 2.80
As1 0.2645 0.0000 0.7503 x2  3 Sc 2.76-2.80, 2 Tm 2.88, 1 Sm 2.92
As2 0.2679 0.5000 0.2605 x2  3 Sc 2.76-2.80, 1 Tm 2.88, 2 Sm 2.92

## Properties
Energy of formation = -1.427 eV per atom

Entry 2:
A geometry-optimized SmSc2UAs4 structure, computed with PBE.

Cell: 5.7119 5.7119 11.3140 Å, 90.00 90.00 90.00°
Last column: nearest neighbours and their distance in Å.
Space group I-4m2 (No. 119)
Unique sites:
Sm1 0.0000 0.0000 0.0000 x2  6 As 2.86-2.92
Sc1 0.0000 0.0000 0.5000 x2  6 As 2.74-2.86
Sc2 0.0000 0.5000 0.2500 x2  6 As 2.81-2.86
U1 0.0000 0.5000 0.7500 x2  6 As 2.84-2.86
As1 0.0000 0.0000 0.2582 x4  3 Sc 2.74-2.86, 2 U 2.86, 1 Sm 2.92
As2 0.0000 0.5000 0.0014 x4  3 Sc 2.81-2.86, 1 U 2.84, 2 Sm 2.86

## Properties
Energy of formation = -1.210 eV per atom